Compound: RbY3Bi
Source: Alexandria via LeMat-Bulk
Functional: GGA-PBE
Structure: optimized geometry

a = 5.527 Å, b = 5.527 Å, c = 5.527 Å
α = 90.00°, β = 90.00°, γ = 90.00°
Fractional coordinates of all 5 atoms:
Y 0.000 0.500 0.000
Y 0.000 0.000 0.500
Y 0.500 0.000 0.000
Rb 0.000 0.000 0.000
Bi 0.500 0.500 0.500

Properties
Space group ... No. 221
Polymorph energy (0 for the lowest one) ... 828.3 meV per atom
Formation energy from the elements ... 112.3 kJ/mol of atoms
Total DFT energy (no corrections) ... -0.135 hartree per atom
Total magnetic moment ... 0.000 μB per formula unit